{"formula": "Na2LiB5P2O14", "functional": "GGA-PBEsol", "state": "relaxed", "formation_energy_uncorrected_ev_per_atom": -2.3996, "cell": [[8.239, 0.002, 0.000], [-3.640, 7.537, 0.000], [0.000, 0.000, 9.212]], "species": ["Na", "Na", "Na", "Na", "Li", "Li", "B", "B", "B", "B", "B", "B", "B", "B", "B", "B", "P", "P", "P", "P", "O", "O", "O", "O", "O", "O", "O", "O", "O", "O", "O", "O", "O", "O", "O", "O", "O", "O", "O", "O", "O", "O", "O", "O", "O", "O", "O", "O"], "frac_coords": [[0.604, 0.536, 0.750], [0.396, 0.464, 0.250], [0.838, 0.961, 0.750], [0.162, 0.039, 0.250], [0.016, 0.716, 0.750], [0.984, 0.284, 0.250], [0.266, 0.544, 0.750], [0.734, 0.456, 0.250], [0.279, 0.096, 0.750], [0.721, 0.904, 0.250], [0.948, 0.349, 0.750], [0.052, 0.651, 0.250], [0.415, 0.883, 0.750], [0.585, 0.117, 0.250], [0.610, 0.199, 0.750], [0.390, 0.801, 0.250], [0.153, 0.273, 0.942], [0.847, 0.727, 0.442], [0.847, 0.727, 0.058], [0.153, 0.273, 0.558], [0.298, 0.452, 0.882], [0.702, 0.548, 0.382], [0.702, 0.548, 0.118], [0.298, 0.452, 0.618], [0.034, 0.752, 0.382], [0.966, 0.248, 0.882], [0.966, 0.248, 0.618], [0.034, 0.752, 0.118], [0.184, 0.113, 0.882], [0.816, 0.887, 0.382], [0.816, 0.887, 0.118], [0.184, 0.113, 0.618], [0.155, 0.267, 0.395], [0.845, 0.733, 0.895], [0.845, 0.733, 0.605], [0.155, 0.267, 0.105], [0.411, 0.720, 0.750], [0.589, 0.280, 0.250], [0.086, 0.528, 0.750], [0.914, 0.472, 0.250], [0.266, 0.916, 0.750], [0.734, 0.084, 0.250], [0.462, 0.232, 0.750], [0.538, 0.768, 0.250], [0.772, 0.343, 0.750], [0.228, 0.657, 0.250], [0.589, 0.024, 0.750], [0.411, 0.976, 0.250]]}



{"formula": "BeCdN2", "functional": "GGA-PBEsol", "state": "relaxed", "formation_energy_uncorrected_ev_per_atom": 1.2608, "cell": [[-2.382, -2.838, -0.978], [-0.234, -3.142, 2.181], [-3.151, -0.659, 2.079]], "species": ["Be", "N", "N", "Cd"], "frac_coords": [[0.000, 0.000, 0.000], [0.250, 0.250, 0.250], [0.750, 0.750, 0.750], [0.500, 0.500, 0.500]]}



{"formula": "CdOsRhN2", "functional": "GGA-PBEsol", "state": "relaxed", "formation_energy_uncorrected_ev_per_atom": 2.9236, "cell": [[3.952, 0.000, 0.000], [0.000, 3.952, 0.000], [0.000, 0.000, 5.281]], "species": ["Rh", "N", "N", "Os", "Cd"], "frac_coords": [[0.500, 0.500, 0.500], [0.000, 0.500, 0.000], [0.500, 0.000, 0.000], [0.000, 0.000, 0.500], [0.000, 0.000, 0.000]]}



{"formula": "La3Ce4O12", "functional": "GGA-PBEsol", "state": "relaxed", "formation_energy_uncorrected_ev_per_atom": -3.4231, "cell": [[3.812, 0.000, 0.000], [0.000, 5.569, 0.004], [-1.906, -2.666, 13.837]], "species": ["La", "La", "La", "Ce", "Ce", "Ce", "Ce", "O", "O", "O", "O", "O", "O", "O", "O", "O", "O", "O", "O"], "frac_coords": [[0.000, 0.000, 0.000], [0.427, 0.477, 0.854], [0.573, 0.523, 0.146], [0.151, 0.159, 0.303], [0.286, 0.288, 0.572], [0.849, 0.841, 0.697], [0.714, 0.712, 0.428], [0.637, 0.886, 0.273], [0.512, 0.759, 0.024], [0.351, 0.610, 0.701], [0.216, 0.466, 0.433], [0.649, 0.390, 0.299], [0.075, 0.287, 0.150], [0.925, 0.713, 0.850], [0.488, 0.241, 0.976], [0.784, 0.534, 0.567], [0.214, 0.964, 0.429], [0.786, 0.036, 0.571], [0.363, 0.114, 0.727]]}



{"formula": "Zr2CoAg2", "functional": "GGA-PBEsol", "state": "relaxed", "formation_energy_mev_per_atom": 815, "cell": [[-2.281, 1.743, -2.589], [0.036, -3.192, -2.181], [-4.229, -1.523, 5.587]], "species": ["Co", "Zr", "Zr", "Ag", "Ag"], "frac_coords": [[0.000, 0.000, 0.000], [0.250, 0.750, 0.500], [0.750, 0.250, 0.500], [0.407, 0.407, 0.813], [0.593, 0.593, 0.187]]}



{"formula": "LaCuSi2", "functional": "GGA-PBEsol", "state": "relaxed", "formation_energy_uncorrected_ev_per_atom": -0.3444, "cell": [[-1.403, -1.778, 3.332], [-3.325, -2.132, -2.538], [2.912, -3.174, -0.468]], "species": ["Cu", "La", "Si", "Si"], "frac_coords": [[0.000, 0.609, 0.437], [0.500, 0.277, 0.831], [0.000, 0.795, 0.945], [0.500, 0.818, 0.287]]}



{"formula": "Li2PPb", "functional": "GGA-PBEsol", "state": "relaxed", "formation_energy_mev_per_atom": -326, "e_above_lowest_polymorph_ev_per_atom": 0.000, "cell": [[-4.051, 0.687, 0.584], [-2.477, -3.101, 1.213], [-1.263, 0.392, 5.523]], "species": ["Li", "Li", "P", "Pb"], "frac_coords": [[0.958, 0.958, 0.125], [0.210, 0.210, 0.369], [0.575, 0.575, 0.274], [0.756, 0.756, 0.732]]}



{"formula": "MgTiZn2Os", "functional": "GGA-PBEsol", "state": "relaxed", "formation_energy_mev_per_atom": 1956, "cell": [[4.577, 0.000, 0.000], [0.000, 4.577, 0.000], [0.000, 0.000, 4.852]], "species": ["Zn", "Zn", "Os", "Mg", "Ti"], "frac_coords": [[0.000, 0.500, 0.000], [0.500, 0.000, 0.000], [0.500, 0.500, 0.500], [0.000, 0.000, 0.500], [0.000, 0.000, 0.000]]}



{"formula": "Re3AsPd", "functional": "GGA-PBEsol", "state": "relaxed", "formation_energy_mev_per_atom": 1768, "cell": [[-2.962, -2.689, 1.966], [2.855, -3.405, -0.356], [1.716, 1.022, 3.985]], "species": ["Re", "Re", "Re", "As", "Pd"], "frac_coords": [[0.000, 0.500, 0.000], [0.000, 0.000, 0.500], [0.500, 0.000, 0.000], [0.000, 0.000, 0.000], [0.500, 0.500, 0.500]]}



{"formula": "Be3NiF", "functional": "GGA-PBEsol", "state": "relaxed", "formation_energy_uncorrected_ev_per_atom": 0.3964, "cell": [[-2.229, 2.888, -1.645], [-2.696, -0.413, 2.928], [1.943, 2.739, 2.176]], "species": ["Ni", "Be", "Be", "Be", "F"], "frac_coords": [[0.000, 0.000, 0.000], [0.000, 0.500, 0.000], [0.000, 0.000, 0.500], [0.500, 0.000, 0.000], [0.500, 0.500, 0.500]]}



{"formula": "CsAlS2Cl", "functional": "GGA-PBEsol", "state": "relaxed", "formation_energy_uncorrected_ev_per_atom": 0.7141, "cell": [[-2.055, -4.279, -2.226], [4.318, -2.710, 1.223], [-2.533, -1.596, 5.406]], "species": ["Cs", "S", "S", "Al", "Cl"], "frac_coords": [[0.000, 0.000, 0.000], [0.000, 0.500, 0.000], [0.500, 0.000, 0.000], [0.500, 0.500, 0.500], [0.000, 0.000, 0.500]]}



{"formula": "TeAsCl", "functional": "GGA-PBEsol", "state": "relaxed", "formation_energy_uncorrected_ev_per_atom": 0.0506, "cell": [[-1.650, 4.446, 0.600], [-4.380, 0.704, 1.780], [-0.533, 1.777, 4.405]], "species": ["As", "Te", "Cl"], "frac_coords": [[0.750, 0.750, 0.750], [0.500, 0.500, 0.500], [0.000, 0.000, 0.000]]}



{"formula": "CdSiCl", "functional": "GGA-PBEsol", "state": "relaxed", "formation_energy_uncorrected_ev_per_atom": -0.1002, "cell": [[-2.258, 1.575, 1.846], [1.868, -1.486, 3.551], [3.354, 4.300, -2.543]], "species": ["Si", "Cl", "Cd"], "frac_coords": [[0.444, 0.444, 0.887], [0.645, 0.645, 0.290], [0.911, 0.911, 0.822]]}



{"formula": "ZrTaTc2Ni", "functional": "GGA-PBEsol", "state": "relaxed", "formation_energy_mev_per_atom": 2232, "cell": [[-4.199, 0.025, 1.772], [-1.768, -0.386, -4.183], [0.135, -4.795, 0.386]], "species": ["Ni", "Tc", "Tc", "Zr", "Ta"], "frac_coords": [[0.500, 0.500, 0.500], [0.000, 0.500, 0.000], [0.500, 0.000, 0.000], [0.000, 0.000, 0.000], [0.000, 0.000, 0.500]]}



{"formula": "Cs3CuS", "functional": "GGA-PBEsol", "state": "relaxed", "formation_energy_uncorrected_ev_per_atom": -0.2336, "cell": [[6.573, 0.000, 0.000], [0.000, 6.573, 0.000], [0.000, 0.000, 6.573]], "species": ["Cs", "Cs", "Cs", "S", "Cu"], "frac_coords": [[0.000, 0.500, 0.000], [0.000, 0.000, 0.500], [0.500, 0.000, 0.000], [0.000, 0.000, 0.000], [0.500, 0.500, 0.500]]}



{"formula": "Ca2VClO4", "functional": "GGA-PBEsol", "state": "relaxed", "formation_energy_uncorrected_ev_per_atom": -2.8287, "cell": [[-3.251, -2.540, 4.704], [-3.287, -4.304, -4.596], [7.870, -7.495, 1.391]], "species": ["Ca", "Ca", "Ca", "Ca", "Ca", "Ca", "Ca", "Ca", "V", "V", "V", "V", "Cl", "Cl", "Cl", "Cl", "O", "O", "O", "O", "O", "O", "O", "O", "O", "O", "O", "O", "O", "O", "O", "O"], "frac_coords": [[0.858, 0.971, 0.250], [0.142, 0.471, 0.250], [0.380, 0.750, 0.000], [0.620, 0.250, 0.500], [0.858, 0.529, 0.750], [0.142, 0.029, 0.750], [0.380, 0.750, 0.500], [0.620, 0.250, 0.000], [0.874, 0.750, 0.000], [0.126, 0.250, 0.000], [0.874, 0.750, 0.500], [0.126, 0.250, 0.500], [0.515, 0.808, 0.750], [0.485, 0.192, 0.250], [0.485, 0.308, 0.750], [0.515, 0.692, 0.250], [0.038, 0.730, 0.125], [0.291, 0.436, 0.030], [0.038, 0.770, 0.875], [0.291, 0.064, 0.530], [0.962, 0.270, 0.875], [0.709, 0.564, 0.530], [0.038, 0.730, 0.375], [0.291, 0.436, 0.470], [0.709, 0.936, 0.030], [0.291, 0.064, 0.970], [0.709, 0.936, 0.470], [0.962, 0.230, 0.375], [0.709, 0.564, 0.970], [0.962, 0.270, 0.625], [0.962, 0.230, 0.125], [0.038, 0.770, 0.625]]}



{"formula": "ScCd2Os", "functional": "GGA-PBEsol", "state": "relaxed", "formation_energy_mev_per_atom": 132, "e_above_lowest_polymorph_ev_per_atom": 0.040, "cell": [[-1.241, 2.411, -0.888], [-3.808, -2.196, -0.641], [-1.533, 1.134, 5.224]], "species": ["Cd", "Cd", "Os", "Sc"], "frac_coords": [[0.000, 0.000, 0.759], [0.000, 0.000, 0.241], [0.500, 0.500, 0.000], [0.500, 0.500, 0.500]]}



{"formula": "W3CBr", "functional": "GGA-PBEsol", "state": "relaxed", "formation_energy_uncorrected_ev_per_atom": 3.5151, "cell": [[4.530, 0.000, 0.000], [0.000, 4.530, 0.000], [0.000, 0.000, 4.530]], "species": ["C", "Br", "W", "W", "W"], "frac_coords": [[0.500, 0.500, 0.500], [0.000, 0.000, 0.000], [0.000, 0.500, 0.000], [0.000, 0.000, 0.500], [0.500, 0.000, 0.000]]}



{"formula": "La2BiMoPb", "functional": "GGA-PBEsol", "state": "relaxed", "formation_energy_mev_per_atom": 1193, "cell": [[-2.026, 1.865, 5.064], [2.221, -4.893, 2.692], [5.170, 2.898, 1.001]], "species": ["Pb", "Mo", "Bi", "La", "La"], "frac_coords": [[0.500, 0.000, 0.000], [0.500, 0.500, 0.500], [0.000, 0.000, 0.000], [0.000, 0.000, 0.500], [0.000, 0.500, 0.000]]}



{"formula": "KBa2Sb2", "functional": "GGA-PBEsol", "state": "relaxed", "formation_energy_uncorrected_ev_per_atom": -0.8120, "cell": [[4.029, 0.000, 0.000], [0.000, 9.906, 0.000], [0.000, 0.000, 9.906]], "species": ["Sb", "Sb", "Sb", "Sb", "K", "K", "Ba", "Ba", "Ba", "Ba"], "frac_coords": [[0.000, 0.334, 0.834], [0.000, 0.834, 0.666], [0.000, 0.666, 0.166], [0.000, 0.166, 0.334], [0.000, 0.000, 0.000], [0.000, 0.500, 0.500], [0.500, 0.132, 0.632], [0.500, 0.632, 0.868], [0.500, 0.868, 0.368], [0.500, 0.368, 0.132]]}



{"formula": "LaSi2Rh3", "functional": "GGA-PBEsol", "state": "relaxed", "formation_energy_uncorrected_ev_per_atom": -1.0539, "cell": [[-0.820, -1.573, -3.188], [-4.777, -1.856, 2.144], [0.183, 4.960, -2.494]], "species": ["Si", "Si", "Rh", "Rh", "Rh", "La"], "frac_coords": [[0.000, 0.667, 0.333], [0.000, 0.333, 0.667], [0.500, 0.000, 0.500], [0.500, 0.500, 0.000], [0.500, 0.500, 0.500], [0.000, 0.000, 0.000]]}



{"formula": "PPdO2F", "functional": "GGA-PBEsol", "state": "relaxed", "formation_energy_uncorrected_ev_per_atom": 0.1472, "cell": [[-2.588, -1.276, -2.674], [0.322, -3.651, 1.430], [-2.954, 0.724, 2.513]], "species": ["P", "O", "O", "Pd", "F"], "frac_coords": [[0.500, 0.500, 0.500], [0.000, 0.500, 0.000], [0.500, 0.000, 0.000], [0.000, 0.000, 0.000], [0.000, 0.000, 0.500]]}



{"formula": "PdRuS2", "functional": "GGA-PBEsol", "state": "relaxed", "formation_energy_uncorrected_ev_per_atom": 0.0877, "cell": [[4.239, 0.000, 0.000], [2.120, 3.671, 0.000], [2.120, 1.224, 3.461]], "species": ["Ru", "S", "S", "Pd"], "frac_coords": [[0.000, 0.000, 0.000], [0.250, 0.250, 0.250], [0.750, 0.750, 0.750], [0.500, 0.500, 0.500]]}



{"formula": "YGePd", "functional": "GGA-PBEsol", "state": "relaxed", "formation_energy_mev_per_atom": -970, "cell": [[-2.815, 3.057, 1.093], [-2.171, -0.806, 5.111], [2.319, 4.069, 3.042]], "species": ["Y", "Y", "Ge", "Ge", "Pd", "Pd"], "frac_coords": [[0.549, 0.691, 0.211], [0.451, 0.309, 0.789], [0.841, 0.100, 0.219], [0.159, 0.900, 0.781], [0.176, 0.272, 0.376], [0.824, 0.728, 0.624]]}